A | TbPr3Sb2 after structural relaxation, computed with PBE-GGA.

Properties
magnetization = 0.00 μB/f.u.

Structure (extended XYZ):
```
6
Lattice="4.606 0.000 0.000 0.000 4.606 0.000 0.000 0.000 8.870" Properties=species:S:1:pos:R:3 pbc="T T T"
Tb 0.000 0.000 0.000
Pr 0.000 2.303 3.147
Pr 2.303 0.000 5.723
Pr 2.303 2.303 0.000
Sb 0.000 2.303 6.426
Sb 2.303 0.000 2.443
```

B | TbPr3Sb2 after structural relaxation, computed with PBE-GGA.

Properties
magnetization = 0.14 μB/f.u.

Structure (extended XYZ):
```
12
Lattice="-3.642 7.327 3.998 3.642 -7.327 3.998 3.642 7.327 -3.998" Properties=species:S:1:pos:R:3 pbc="T T T"
Tb 0.000 0.000 0.000
Tb 0.000 0.000 3.998
Pr 3.642 4.255 -1.999
Pr 3.642 0.000 1.999
Pr 0.000 3.072 1.999
Pr 3.642 4.255 1.999
Pr 0.000 7.327 1.999
Pr 0.000 3.072 5.997
Sb 4.964 2.114 0.000
Sb 1.323 5.213 0.000
Sb 2.319 2.114 3.998
Sb -1.323 5.213 3.998
```

Compare the structures above. Which one is the least stable? B is.